# 1
PBE-GGA Al2CdFe, optimized geometry; SG = I4/mmm, No. 139; DOS(E_F) = 0.518 states/eV/atom
1.0
-1.963 1.963 4.005
1.963 -1.963 4.005
1.963 1.963 -4.005
Al Cd Fe
2 1 1
Cartesian
1.963 0.000 2.003 Al
0.000 1.963 2.003 Al
0.000 0.000 0.000 Cd
0.000 0.000 4.005 Fe

---

# 2
PBE-GGA Sc2AlGa, optimized geometry; SG = Pmma, No. 51; DOS(E_F) = 0.486 states/eV/atom
1.0
4.775 0.000 0.000
0.000 3.349 0.000
0.000 0.000 9.555
Sc Al Ga
4 2 2
Cartesian
1.194 0.000 1.185 Sc
1.194 0.000 6.023 Sc
3.581 0.000 3.532 Sc
3.581 0.000 8.370 Sc
1.194 1.675 3.635 Al
3.581 1.675 5.920 Al
1.194 1.675 8.361 Ga
3.581 1.675 1.193 Ga

---

# 3
PBE-GGA Ca2ScMo, optimized geometry; SG = Cmm2, No. 35; DOS(E_F) = 1.464 states/eV/atom; polymorph energy (0 for the lowest one) = 0.108 eV per atom
1.0
1.998 -2.537 0.000
1.998 2.537 0.000
0.000 0.000 10.575
Ca Sc Mo
2 1 1
Cartesian
0.000 0.000 0.000 Ca
1.998 0.000 3.360 Ca
0.000 0.000 6.392 Sc
1.998 0.000 8.260 Mo

---

# 4
PBE-GGA NpNi5Ge2, optimized geometry; SG = Immm, No. 71; DOS(E_F) = 1.380 states/eV/atom
1.0
-1.823 3.327 4.676
1.823 -3.327 4.676
1.823 3.327 -4.676
Np Ni Ge
1 5 2
Cartesian
0.000 0.000 0.000 Np
1.823 2.076 -1.285 Ni
1.823 2.076 1.285 Ni
0.000 3.327 0.000 Ni
0.000 1.252 3.391 Ni
0.000 1.252 5.961 Ni
1.823 0.000 2.351 Ge
0.000 3.327 2.325 Ge

---

# 5
PBE-GGA MnReRh2, optimized geometry; SG = I-4m2, No. 119; DOS(E_F) = 1.157 states/eV/atom; polymorph energy (0 for the lowest one) = 0.075 eV per atom
1.0
-1.908 1.908 3.798
1.908 -1.908 3.798
1.908 1.908 -3.798
Mn Re Rh
1 1 2
Cartesian
0.000 0.000 0.000 Mn
1.908 0.000 1.899 Re
0.000 0.000 3.798 Rh
0.000 1.908 1.899 Rh

---

# 6
PBE-GGA TbHo2Tl3Se6, optimized geometry; SG = C2/m, No. 12; formation energy (no corrections) = -16.64 eV per formula unit
1.0
3.621 -6.270 0.000
3.621 6.270 0.000
-2.415 0.000 7.775
Tb Ho Tl Se
1 2 3 6
Cartesian
0.000 0.000 0.000 Tb
3.621 2.090 0.000 Ho
3.621 -2.090 0.000 Ho
2.413 4.185 3.888 Tl
2.413 0.000 3.888 Tl
2.413 -4.185 3.888 Tl
1.215 2.104 1.586 Se
0.015 0.000 6.193 Se
1.215 -2.104 1.586 Se
3.612 2.104 6.189 Se
4.812 0.000 1.582 Se
3.612 -2.104 6.189 Se

---

| no. | calculated total energy (eV/cell) | mass density (g cm⁻³) | size of the total moment (Bohr magnetons per cell) |
| --- | --- | --- | --- |
| 1 | -16.541 | 5.98 | 1.63 |
| 2 | -42.995 | 4.06 | 0.00 |
| 3 | -19.371 | 3.42 | 0.18 |
| 4 | -53.016 | 9.89 | 4.14 |
| 5 | -36.443 | 13.42 | 1.86 |
| 6 | -58.428 | 7.41 | 0.00 |